The following is a DFT calculation (PBE) of a relaxed Er2CoC2 crystal.

Calculated values
M_tot: 0.1 μB/cell
Formation energy: -0.237 eV/atom
Energy: -7.1729 eV per atom

Cell: 6.220 4.964 9.577 Å, 90.00 90.00 90.00°
Element x y z (fractional)
Er  0.019  0.250  0.218
Er  0.180  0.250  0.555
Er  0.320  0.750  0.055
Er  0.481  0.750  0.718
Er  0.519  0.250  0.282
Er  0.680  0.250  0.945
Er  0.820  0.750  0.445
Er  0.981  0.750  0.782
Co  0.230  0.250  0.857
Co  0.270  0.750  0.357
Co  0.730  0.250  0.643
Co  0.770  0.750  0.143
C  0.035  0.750  0.238
C  0.186  0.750  0.547
C  0.314  0.250  0.047
C  0.465  0.250  0.738
C  0.535  0.750  0.262
C  0.686  0.750  0.953
C  0.814  0.250  0.453
C  0.965  0.250  0.762